A plane-wave DFT calculation with GGA-PBE was carried out for Be2V2Hg after structural relaxation.

The space group is I4/mmm (No. 139) and the conventional cell measures 3.6374, 3.6374 and 11.0459 Å, with angles of 90.00, 90.00 and 90.00 degrees. The asymmetric unit holds Be at (0.0000, 0.5000, 0.2500), V at (0.0000, 0.0000, 0.0924) and Hg at (0.0000, 0.0000, 0.5000).

Its crystal system is tetragonal. The value obtained for the total magnetic moment is 0.00 μB/atom. The formation energy comes out at 729 meV/atom. The mass density is 7.3 Mg/m³.